Record 1
# Cs3Tl3ZnF8 PBE optimized geometry
data_Cs3Tl3ZnF8
_chemical_formula_sum 'Cs9 Tl9 Zn3 F24'
_space_group_name_H-M_alt 'R -3 m'
_space_group_IT_number 166
_space_group_name_Hall '-R 3 2"'
_cell_length_a 8.1731
_cell_length_b 8.1731
_cell_length_c 19.2125
_cell_angle_alpha 90.00
_cell_angle_beta 90.00
_cell_angle_gamma 120.00
loop_
_atom_site_label
_atom_site_type_symbol
_atom_site_fract_x
_atom_site_fract_y
_atom_site_fract_z
Cs1 Cs 0.0000 0.5000 0.0000
Tl1 Tl 0.0000 0.5000 0.5000
Zn1 Zn 0.0000 0.0000 0.0000
F1 F 0.0000 0.0000 0.2430
F2 F 0.0898 0.5449 0.7321
# Crystal system = trigonal
# Magnetization = 0.00 μB/cell
# Formation energy from raw total energies = -2.207 eV/atom

=====

Record 2
# CsZrTlF6 PBE optimized geometry
data_CsZrTlF6
_chemical_formula_sum 'Cs2 Zr2 Tl2 F12'
_space_group_name_H-M_alt 'C 1 2 1'
_space_group_IT_number 5
_cell_length_a 6.741
_cell_length_b 11.710
_cell_length_c 5.544
_cell_angle_alpha 90.00
_cell_angle_beta 90.03
_cell_angle_gamma 90.00
loop_
_space_group_symop_operation_xyz
'x,y,z'
'-x,y,-z'
'x+1/2,y+1/2,z'
'-x+1/2,y+1/2,-z'
loop_
_atom_site_label
_atom_site_type_symbol
_atom_site_fract_x
_atom_site_fract_y
_atom_site_fract_z
Cs1 Cs 0.000 0.000 0.000
Zr1 Zr 0.000 0.667 0.500
Tl1 Tl 0.000 0.334 0.500
F1 F 0.122 0.540 0.293
F2 F 0.128 0.792 0.294
F3 F 0.246 0.169 0.295
# Crystal system = monoclinic
# Magnetization = 0.00 μB/cell
# Formation energy from raw total energies = -3.148 eV/atom

=====

Record 3
# Cs2ZrTlF6 PBE optimized geometry
data_Cs2ZrTlF6
_chemical_formula_sum 'Cs4 Zr2 Tl2 F12'
_space_group_name_H-M_alt 'I 4/m m m'
_space_group_IT_number 139
_space_group_name_Hall '-I 4 2'
_cell_length_a 6.796
_cell_length_b 6.796
_cell_length_c 11.592
_cell_angle_alpha 90.00
_cell_angle_beta 90.00
_cell_angle_gamma 90.00
loop_
_atom_site_label
_atom_site_type_symbol
_atom_site_fract_x
_atom_site_fract_y
_atom_site_fract_z
Cs1 Cs 0.000 0.500 0.250
Zr1 Zr 0.000 0.000 0.000
Tl1 Tl 0.000 0.000 0.500
F1 F 0.000 0.000 0.177
F2 F 0.213 0.213 0.000
# Crystal system = tetragonal
# E above lowest polymorph = 0.0109 eV per atom
# Magnetization = 1.96 μB/cell
# Formation energy from raw total energies = -2.850 eV/atom

=====

Record 4
# Cs2ZrTlF6 PBE optimized geometry
data_Cs2ZrTlF6
_chemical_formula_sum 'Cs12 Zr6 Tl6 F36'
_space_group_name_H-M_alt 'R -3 m'
_space_group_IT_number 166
_space_group_name_Hall '-R 3 2"'
_cell_length_a 7.3664
_cell_length_b 7.3664
_cell_length_c 30.8030
_cell_angle_alpha 90.00
_cell_angle_beta 90.00
_cell_angle_gamma 120.00
loop_
_atom_site_label
_atom_site_type_symbol
_atom_site_fract_x
_atom_site_fract_y
_atom_site_fract_z
Cs1 Cs 0.0000 0.0000 0.1313
Cs2 Cs 0.0000 0.0000 0.2618
Zr1 Zr 0.0000 0.0000 0.0000
Zr2 Zr 0.0000 0.0000 0.5000
Tl1 Tl 0.0000 0.0000 0.3959
F1 F 0.0254 0.5127 0.1365
F2 F 0.0799 0.5400 0.7072
# Crystal system = trigonal
# E above lowest polymorph = 0.0000 eV per atom
# Magnetization = 0.00 μB/cell
# Formation energy from raw total energies = -2.861 eV/atom

=====

Record 5
# Cs3Tm2F9 PBE optimized geometry
data_Cs3Tm2F9
_chemical_formula_sum 'Cs18 Tm12 F54'
_space_group_name_H-M_alt 'R -3 c'
_space_group_IT_number 167
_space_group_name_Hall '-R 3 2"c'
_cell_length_a 11.6494
_cell_length_b 11.6494
_cell_length_c 15.1880
_cell_angle_alpha 90.00
_cell_angle_beta 90.00
_cell_angle_gamma 120.00
loop_
_atom_site_label
_atom_site_type_symbol
_atom_site_fract_x
_atom_site_fract_y
_atom_site_fract_z
Cs1 Cs 0.0000 0.3383 0.2500
Tm1 Tm 0.0000 0.0000 0.1424
F1 F 0.0000 0.1326 0.7500
F2 F 0.0067 0.1664 0.4131
# Crystal system = trigonal
# Magnetization = 2.25 μB/cell
# Formation energy from raw total energies = -3.567 eV/atom

=====

Record 6
# CsTmF4 PBE optimized geometry
data_CsTmF4
_chemical_formula_sum 'Cs2 Tm2 F8'
_space_group_name_H-M_alt 'P 4/m b m'
_space_group_IT_number 127
_space_group_name_Hall '-P 4 2ab'
_cell_length_a 5.901
_cell_length_b 5.901
_cell_length_c 7.182
_cell_angle_alpha 90.00
_cell_angle_beta 90.00
_cell_angle_gamma 90.00
loop_
_atom_site_label
_atom_site_type_symbol
_atom_site_fract_x
_atom_site_fract_y
_atom_site_fract_z
Cs1 Cs 0.000 0.500 0.000
Tm1 Tm 0.000 0.000 0.500
F1 F 0.000 0.000 0.205
F2 F 0.184 0.316 0.500
# Crystal system = tetragonal
# E above lowest polymorph = 0.0203 eV per atom
# Magnetization = 0.00 μB/cell
# Formation energy from raw total energies = -3.723 eV/atom

=====

Record 7
# CsTmF4 PBE optimized geometry
data_CsTmF4
_chemical_formula_sum 'Cs4 Tm4 F16'
_space_group_name_H-M_alt 'C m c m'
_space_group_IT_number 63
_space_group_name_Hall '-C 2c 2'
_cell_length_a 4.366
_cell_length_b 17.954
_cell_length_c 6.787
_cell_angle_alpha 90.00
_cell_angle_beta 90.00
_cell_angle_gamma 90.00
loop_
_atom_site_label
_atom_site_type_symbol
_atom_site_fract_x
_atom_site_fract_y
_atom_site_fract_z
Cs1 Cs 0.000 0.184 0.250
Tm1 Tm 0.000 0.422 0.250
F1 F 0.000 0.071 0.750
F2 F 0.000 0.336 0.040
F3 F 0.000 0.500 0.000
# Crystal system = orthorhombic
# E above lowest polymorph = 0.0000 eV per atom
# Magnetization = 0.13 μB/cell
# Formation energy from raw total energies = -3.743 eV/atom

=====

Record 8
# CsTm2F8 PBE optimized geometry
data_CsTm2F8
_chemical_formula_sum 'Cs2 Tm4 F16'
_space_group_name_H-M_alt 'C 1 2/m 1'
_space_group_IT_number 12
_cell_length_a 6.936
_cell_length_b 11.502
_cell_length_c 4.313
_cell_angle_alpha 90.00
_cell_angle_beta 90.11
_cell_angle_gamma 90.00
loop_
_space_group_symop_operation_xyz
'x,y,z'
'-x,-y,-z'
'-x,y,-z'
'x,-y,z'
'x+1/2,y+1/2,z'
'-x+1/2,-y+1/2,-z'
'-x+1/2,y+1/2,-z'
'x+1/2,-y+1/2,z'
loop_
_atom_site_label
_atom_site_type_symbol
_atom_site_fract_x
_atom_site_fract_y
_atom_site_fract_z
Cs1 Cs 0.000 0.000 0.000
Tm1 Tm 0.000 0.309 0.500
F1 F 0.000 0.279 0.000
F2 F 0.002 0.500 0.737
F3 F 0.191 0.149 0.501
# Crystal system = monoclinic
# Magnetization = 1.98 μB/cell
# Formation energy from raw total energies = -3.567 eV/atom

=====

Record 9
# Cs2TmF6 PBE optimized geometry
data_Cs2TmF6
_chemical_formula_sum 'Cs4 Tm2 F12'
_space_group_name_H-M_alt 'P 63 m c'
_space_group_IT_number 186
_space_group_name_Hall 'P 6c -2c'
_cell_length_a 6.8318
_cell_length_b 6.8318
_cell_length_c 9.8794
_cell_angle_alpha 90.00
_cell_angle_beta 90.00
_cell_angle_gamma 120.00
loop_
_atom_site_label
_atom_site_type_symbol
_atom_site_fract_x
_atom_site_fract_y
_atom_site_fract_z
Cs1 Cs 0.0000 0.0000 0.0000
Cs2 Cs 0.3333 0.6667 0.2579
Tm1 Tm 0.3333 0.6667 0.6754
F1 F 0.0528 0.5264 0.5339
F2 F 0.1712 0.3425 0.7672
# Crystal system = hexagonal
# Magnetization = 2.18 μB/cell
# Formation energy from raw total energies = -3.051 eV/atom

=====

Record 10
# Cs2TmF6 PBE optimized geometry
data_Cs2TmF6
_chemical_formula_sum 'Cs4 Tm2 F12'
_space_group_name_H-M_alt 'C 1 2/m 1'
_space_group_IT_number 12
_cell_length_a 13.504
_cell_length_b 7.046
_cell_length_c 4.044
_cell_angle_alpha 90.00
_cell_angle_beta 101.73
_cell_angle_gamma 90.00
loop_
_space_group_symop_operation_xyz
'x,y,z'
'-x,-y,-z'
'-x,y,-z'
'x,-y,z'
'x+1/2,y+1/2,z'
'-x+1/2,-y+1/2,-z'
'-x+1/2,y+1/2,-z'
'x+1/2,-y+1/2,z'
loop_
_atom_site_label
_atom_site_type_symbol
_atom_site_fract_x
_atom_site_fract_y
_atom_site_fract_z
Cs1 Cs 0.168 0.000 0.148
Tm1 Tm 0.000 0.500 0.500
F1 F 0.000 0.325 0.000
F2 F 0.128 0.303 0.617
# Crystal system = monoclinic
# Magnetization = 2.07 μB/cell
# Formation energy from raw total energies = -3.062 eV/atom